Entry from the Open Quantum Materials Database: crystalline KRbTlAu3 at its relaxed geometry (PBE-GGA).

The structure in POSCAR format:
```
KRbTlAu3
1.0
5.760 0.000 0.000
0.000 6.808 0.000
0.000 0.000 9.326
K Rb Tl Au
2 2 2 6
direct
0.250 0.000 0.130
0.750 0.000 0.870
0.250 0.500 0.366
0.750 0.500 0.634
0.250 0.000 0.573
0.750 0.000 0.427
0.000 0.500 0.000
0.250 0.285 0.789
0.250 0.715 0.789
0.500 0.500 0.000
0.750 0.285 0.211
0.750 0.715 0.211
```

space-group type = No. 51
E = -2.660 eV/atom